# GGA-PBE Ho3Mg2Pd2, relaxed
data_Ho3Mg2Pd2
_chemical_formula_sum 'Ho3 Mg2 Pd2'
_cell_length_a 4.263
_cell_length_b 3.623
_cell_length_c 11.151
_cell_angle_alpha 90.00
_cell_angle_beta 78.98
_cell_angle_gamma 90.00
_symmetry_space_group_name_H-M 'P 1'
_symmetry_Int_Tables_number 1
loop_
_symmetry_equiv_pos_as_xyz
'x,y,z'
loop_
_atom_site_label
_atom_site_fract_x
_atom_site_fract_y
_atom_site_fract_z
Mg1 0.583 0.500 0.834
Mg2 0.417 0.500 0.166
Ho1 0.000 0.000 0.000
Ho2 0.175 0.000 0.651
Ho3 0.825 0.000 0.349
Pd1 0.709 0.500 0.581
Pd2 0.291 0.500 0.419
# Space group: No. 65
# DOS at the Fermi energy (states/eV/atom): 0.78
# ΔE_f (kJ per mole of atoms): -50.1